The following is a PBE calculation of an optimized crystal structure of HfReW, from Alexandria via LeMat-Bulk.

Values from the calculation:
**DFT formation energy**: -0.297 eV/atom
**DOS at the Fermi energy**: 0.4986 states/eV/atom
**Total energy**: -289.97 eV/cell
**M_tot**: 0.000 μB/atom

a = 8.6735 Å, b = 5.3575 Å, c = 9.2456 Å
α = 90.00°, β = 90.00°, γ = 90.00°
With the nearest neighbours (Å) after each atom.
Space group Amm2 (No. 38)
Symmetry-distinct sites (fractional):
1 Hf 0.1879 0.0000 0.0000  5 W 3.10-3.13, 7 Re 3.10-3.14, 4 Hf 3.26-3.27
2 Hf 0.3093 0.0000 0.6668  5 Re 3.07-3.15, 7 W 3.13-3.15, 4 Hf 3.26-3.31
3 Re 0.0000 0.0000 0.5058  4 Re 2.58-2.76, 2 W 2.66
4 Re 0.0000 0.2418 0.7474  4 Re 2.58-2.77, 2 W 2.66
5 Re 0.5000 0.0000 0.1637  6 W 2.61-2.73
6 W 0.2451 0.0000 0.3323  4 Re 2.66-2.71, 2 W 2.72
7 W 0.5000 0.2457 0.9196  2 Re 2.61-2.73, 4 W 2.63-2.72

***

The following is a PBE calculation of an optimized crystal structure of HfRe3W, from Alexandria via LeMat-Bulk.

Values from the calculation:
**DFT formation energy**: 1.692 eV/atom
**DOS at the Fermi energy**: 0.5968 states/eV/atom
**Total energy**: -51.79 eV/cell
**M_tot**: 0.000 μB/atom

a = 4.6989 Å, b = 4.6989 Å, c = 4.6989 Å
α = 90.00°, β = 90.00°, γ = 90.00°
With the nearest neighbours (Å) after each atom.
Space group Pm-3m (No. 221)
Symmetry-distinct sites (fractional):
1 Hf 0.0000 0.0000 0.0000  12 Re 3.32
2 Re 0.0000 0.5000 0.5000  2 W 2.35
3 W 0.5000 0.5000 0.5000  6 Re 2.35

***

The following is a PBE calculation of an optimized crystal structure of HfReW3, from Alexandria via LeMat-Bulk.

Values from the calculation:
**DFT formation energy**: 1.646 eV/atom
**DOS at the Fermi energy**: 1.3856 states/eV/atom
**Total energy**: -53.03 eV/cell
**M_tot**: 0.000 μB/atom

a = 4.7516 Å, b = 4.7516 Å, c = 4.7516 Å
α = 90.00°, β = 90.00°, γ = 90.00°
With the nearest neighbours (Å) after each atom.
Space group Pm-3m (No. 221)
Symmetry-distinct sites (fractional):
1 Hf 0.0000 0.0000 0.0000  12 W 3.36
2 Re 0.5000 0.5000 0.5000  6 W 2.38
3 W 0.0000 0.5000 0.5000  2 Re 2.38

***

The following is a PBE calculation of an optimized crystal structure of HfRe2W, from Alexandria via LeMat-Bulk.

Values from the calculation:
**DFT formation energy**: -0.224 eV/atom
**DOS at the Fermi energy**: 0.4819 states/eV/atom
**Total energy**: -48.70 eV/cell
**M_tot**: 0.000 μB/atom

a = 4.5340 Å, b = 4.5340 Å, c = 3.1976 Å
α = 90.00°, β = 90.00°, γ = 90.00°
With the nearest neighbours (Å) after each atom.
Space group P4/mmm (No. 123)
Symmetry-distinct sites (fractional):
1 Hf 0.0000 0.0000 0.0000  8 Re 2.77
2 Re 0.0000 0.5000 0.5000  4 Hf 2.77, 4 W 2.77
3 W 0.5000 0.5000 0.0000  8 Re 2.77

***

The following is a PBE calculation of an optimized crystal structure of HfReW2, from Alexandria via LeMat-Bulk.

Values from the calculation:
**DFT formation energy**: -0.034 eV/atom
**DOS at the Fermi energy**: 0.4192 states/eV/atom
**Total energy**: -193.77 eV/cell
**M_tot**: 0.000 μB/atom

a = 6.4269 Å, b = 6.4269 Å, c = 6.4269 Å
α = 90.00°, β = 90.00°, γ = 90.00°
With the nearest neighbours (Å) after each atom.
Space group Fm-3m (No. 225)
Symmetry-distinct sites (fractional):
1 Hf 0.0000 0.0000 0.0000  8 W 2.78
2 Re 0.0000 0.0000 0.5000  8 W 2.78
3 W 0.2500 0.2500 0.2500  4 Hf 2.78, 4 Re 2.78

***

The following is a PBE calculation of an optimized crystal structure of HfReW, from Alexandria via LeMat-Bulk.

Values from the calculation:
**DFT formation energy**: -0.209 eV/atom
**DOS at the Fermi energy**: 0.4696 states/eV/atom
**Total energy**: -71.96 eV/cell
**M_tot**: 0.000 μB/atom

a = 3.2037 Å, b = 3.2037 Å, c = 10.0333 Å
α = 90.00°, β = 90.00°, γ = 90.00°
With the nearest neighbours (Å) after each atom.
Space group I4mm (No. 107)
Symmetry-distinct sites (fractional):
1 Hf 0.0000 0.0000 0.0000  4 Re 2.85, 4 W 2.89
2 Re 0.0000 0.0000 0.6725  4 W 2.71, 4 Hf 2.85
3 W 0.0000 0.0000 0.3207  4 Re 2.71, 4 Hf 2.89

***

The following is a PBE calculation of an optimized crystal structure of HfRe2W2, from Alexandria via LeMat-Bulk.

Values from the calculation:
**DFT formation energy**: 0.458 eV/atom
**DOS at the Fermi energy**: 1.0191 states/eV/atom
**Total energy**: -116.93 eV/cell
**M_tot**: 0.000 μB/atom

a = 4.1963 Å, b = 4.1963 Å, c = 10.9386 Å
α = 90.00°, β = 90.00°, γ = 90.00°
With the nearest neighbours (Å) after each atom.
Space group I4/mmm (No. 139)
Symmetry-distinct sites (fractional):
1 Hf 0.0000 0.0000 0.0000  8 W 3.24, 8 Re 3.45
2 Re 0.0000 0.5000 0.2500  4 W 2.54
3 W 0.0000 0.0000 0.3806  4 Re 2.54, 1 W 2.61

***

The following is a PBE calculation of an optimized crystal structure of HfReW2, from Alexandria via LeMat-Bulk.

Values from the calculation:
**DFT formation energy**: 0.715 eV/atom
**DOS at the Fermi energy**: 0.8388 states/eV/atom
**Total energy**: -181.78 eV/cell
**M_tot**: 0.000 μB/atom

a = 7.4449 Å, b = 7.4449 Å, c = 5.4194 Å
α = 90.00°, β = 90.00°, γ = 90.00°
With the nearest neighbours (Å) after each atom.
Space group I-42d (No. 122)
Symmetry-distinct sites (fractional):
1 Hf 0.0000 0.0000 0.0000  2 Re 2.71, 4 W 2.91
2 Re 0.0000 0.0000 0.5000  4 W 2.54, 2 Hf 2.71
3 W 0.2145 0.7500 0.6250  2 Re 2.54, 2 W 2.76

***

The following is a PBE calculation of an optimized crystal structure of HfReW3, from Alexandria via LeMat-Bulk.

Values from the calculation:
**DFT formation energy**: 2.871 eV/atom
**DOS at the Fermi energy**: 1.7761 states/eV/atom
**Total energy**: -46.90 eV/cell
**M_tot**: 0.000 μB/atom

a = 4.6870 Å, b = 4.6870 Å, c = 4.6870 Å
α = 90.00°, β = 90.00°, γ = 90.00°
With the nearest neighbours (Å) after each atom.
Space group Pm-3m (No. 221)
Symmetry-distinct sites (fractional):
1 Hf 0.0000 0.0000 0.0000  6 W 2.34
2 Re 0.5000 0.5000 0.5000  12 W 3.31
3 W 0.0000 0.0000 0.5000  2 Hf 2.34

***

The following is a PBE calculation of an optimized crystal structure of HfReW14, from Alexandria via LeMat-Bulk.

Values from the calculation:
**DFT formation energy**: -0.011 eV/atom
**DOS at the Fermi energy**: 0.4562 states/eV/atom
**Total energy**: -407.86 eV/cell
**M_tot**: 0.000 μB/atom

a = 6.4043 Å, b = 9.0106 Å, c = 9.0411 Å
α = 90.00°, β = 90.00°, γ = 90.00°
With the nearest neighbours (Å) after each atom.
Space group Cmmm (No. 65)
Symmetry-distinct sites (fractional):
1 Hf 0.0000 0.0000 0.0000  8 W 2.76-2.81
2 Re 0.0000 0.5000 0.0000  8 W 2.76-2.79
3 W 0.0000 0.0000 0.5000  8 W 2.75-2.76
4 W 0.0000 0.2495 0.2503  8 W 2.76-2.77
5 W 0.0000 0.5000 0.5000  8 W 2.73-2.76
6 W 0.2475 0.5000 0.2536  6 W 2.73-2.77, 1 Re 2.79, 1 Hf 2.81
7 W 0.2500 0.2500 0.0000  2 Hf 2.76, 2 Re 2.76, 4 W 2.77
8 W 0.2500 0.2500 0.5000  8 W 2.76-2.77

***

The following is a PBE calculation of an optimized crystal structure of HfRe2W, from Alexandria via LeMat-Bulk.

Values from the calculation:
**DFT formation energy**: 0.691 eV/atom
**DOS at the Fermi energy**: 1.1672 states/eV/atom
**Total energy**: -180.16 eV/cell
**M_tot**: 0.000 μB/atom

a = 7.3018 Å, b = 7.3018 Å, c = 5.4615 Å
α = 90.00°, β = 90.00°, γ = 90.00°
With the nearest neighbours (Å) after each atom.
Space group I-42d (No. 122)
Symmetry-distinct sites (fractional):
1 Hf 0.0000 0.0000 0.0000  2 W 2.73, 4 Re 2.80
2 Re 0.2243 0.2500 0.6250  2 W 2.55, 2 Re 2.76, 2 Hf 2.80
3 W 0.0000 0.0000 0.5000  4 Re 2.55, 2 Hf 2.73

***

The following is a PBE calculation of an optimized crystal structure of YHf2Re, from Alexandria via LeMat-Bulk.

Values from the calculation:
**DFT formation energy**: 0.134 eV/atom
**DOS at the Fermi energy**: 1.4244 states/eV/atom
**Total energy**: -153.14 eV/cell
**M_tot**: 0.000 μB/atom

a = 6.9076 Å, b = 6.9076 Å, c = 6.9076 Å
α = 90.00°, β = 90.00°, γ = 90.00°
With the nearest neighbours (Å) after each atom.
Space group Fm-3m (No. 225)
Symmetry-distinct sites (fractional):
1 Y 0.0000 0.0000 0.0000  8 Hf 2.99
2 Hf 0.2500 0.2500 0.2500  4 Re 2.99, 4 Y 2.99
3 Re 0.0000 0.0000 0.5000  8 Hf 2.99

***

The following is a PBE calculation of an optimized crystal structure of YHfRe2, from Alexandria via LeMat-Bulk.

Values from the calculation:
**DFT formation energy**: 0.790 eV/atom
**DOS at the Fermi energy**: 0.9148 states/eV/atom
**Total energy**: -152.62 eV/cell
**M_tot**: 0.000 μB/atom

a = 7.5746 Å, b = 7.5746 Å, c = 5.6508 Å
α = 90.00°, β = 90.00°, γ = 90.00°
With the nearest neighbours (Å) after each atom.
Space group I-42d (No. 122)
Symmetry-distinct sites (fractional):
1 Y 0.0000 0.0000 0.0000  2 Hf 2.83, 4 Re 2.86
2 Hf 0.0000 0.0000 0.5000  4 Re 2.68, 2 Y 2.83
3 Re 0.2320 0.2500 0.6250  2 Hf 2.68, 2 Re 2.84, 2 Y 2.86

***

The following is a PBE calculation of an optimized crystal structure of YHf3Re, from Alexandria via LeMat-Bulk.

Values from the calculation:
**DFT formation energy**: 0.380 eV/atom
**DOS at the Fermi energy**: 1.9203 states/eV/atom
**Total energy**: -46.87 eV/cell
**M_tot**: 0.000 μB/atom

a = 5.0883 Å, b = 5.0883 Å, c = 5.0883 Å
α = 90.00°, β = 90.00°, γ = 90.00°
With the nearest neighbours (Å) after each atom.
Space group Pm-3m (No. 221)
Symmetry-distinct sites (fractional):
1 Y 0.0000 0.0000 0.0000  12 Hf 3.60
2 Hf 0.0000 0.5000 0.5000  2 Re 2.54
3 Re 0.5000 0.5000 0.5000  6 Hf 2.54